This record from the Alexandria database describes a relaxed structure of Th2CuBRh6. The functional is PBE.

Unit cell a=6.2362 b=6.2362 c=6.2337 alpha=119.95 beta=119.95 gamma=90.02
Element x y z (fractional)
Th1 0.2501 0.7499 0.0000
Th2 0.7499 0.2501 0.0000
Cu1 0.0000 0.0000 0.5000
B1 0.5000 0.5000 0.5000
Rh1 0.2681 0.2681 0.0362
Rh2 0.2678 0.2678 0.4999
Rh3 0.2680 0.7320 0.5000
Rh4 0.7320 0.2680 0.5000
Rh5 0.7322 0.7322 0.5001
Rh6 0.7319 0.7319 0.9638

Symmetry: No. 12
E_form, eV/atom: -0.55
DOS(E_F), states/eV/f.u.: 11.1

This record from the Alexandria database describes a relaxed structure of K4ICl2. The functional is PBE.

Unit cell a=9.5796 b=9.5796 c=9.5796 alpha=140.36 beta=140.36 gamma=57.31
Element x y z (fractional)
K1 0.0000 0.5000 0.5000
K2 0.2188 0.2188 0.0000
K3 0.5000 0.0000 0.5000
K4 0.7812 0.7812 0.0000
I1 0.0000 0.0000 0.0000
Cl1 0.3924 0.3924 0.0000
Cl2 0.6076 0.6076 0.0000

Formation energy (no corrections), meV/atom: -1287
Symmetry: No. 139
DOS(E_F), states/eV/f.u.: 1.7

This record from the Alexandria database describes a relaxed structure of Nd6DyTm. The functional is PBE.

Unit cell a=5.1459 b=5.1459 c=10.2863 alpha=90.00 beta=90.00 gamma=90.00
Element x y z (fractional)
Nd1 0.0000 0.0000 0.0000
Nd2 0.0000 0.0000 0.5000
Nd3 0.0000 0.5000 0.2490
Nd4 0.0000 0.5000 0.7510
Nd5 0.5000 0.0000 0.2490
Nd6 0.5000 0.0000 0.7510
Dy1 0.5000 0.5000 0.5000
Tm1 0.5000 0.5000 0.0000

Symmetry: No. 123
E_form, eV/atom: 0.02
DOS(E_F), states/eV/f.u.: 13.2

This record from the Alexandria database describes a relaxed structure of NaAcPbO3. The functional is PBE.

Unit cell a=7.2112 b=3.5521 c=8.9548 alpha=90.00 beta=109.79 gamma=90.00
Element x y z (fractional)
Na1 0.0916 0.2500 0.4044
Na2 0.9084 0.7500 0.5956
Ac1 0.4881 0.7500 0.6956
Ac2 0.5119 0.2500 0.3044
Pb1 0.1650 0.2500 0.9147
Pb2 0.8350 0.7500 0.0853
O1 0.2165 0.2500 0.6801
O2 0.3305 0.7500 0.4027
O3 0.3518 0.7500 0.0509
O4 0.6482 0.2500 0.9491
O5 0.6695 0.2500 0.5973
O6 0.7835 0.7500 0.3199

Formation energy (no corrections), meV/atom: -1994
Symmetry: No. 11
DOS(E_F), states/eV/f.u.: 0.0

This record from the Alexandria database describes a relaxed structure of LiDyTaN3. The functional is PBE.

Unit cell a=6.7200 b=3.1769 c=6.7610 alpha=90.00 beta=103.65 gamma=90.00
Element x y z (fractional)
Li1 0.0771 0.2500 0.0862
Li2 0.9229 0.7500 0.9138
Dy1 0.2061 0.2500 0.7336
Dy2 0.7939 0.7500 0.2664
Ta1 0.3262 0.7500 0.3175
Ta2 0.6738 0.2500 0.6825
N1 0.1339 0.2500 0.3682
N2 0.2185 0.7500 0.0185
N3 0.4463 0.7500 0.6649
N4 0.5537 0.2500 0.3351
N5 0.7815 0.2500 0.9815
N6 0.8661 0.7500 0.6318

Formation energy (no corrections), meV/atom: -1116
Symmetry: No. 11

This record from the Alexandria database describes a relaxed structure of NaUBi2. The functional is PBE.

Unit cell a=5.8615 b=5.8615 c=3.3310 alpha=90.00 beta=90.00 gamma=90.00
Element x y z (fractional)
Na1 0.0000 0.0000 0.0000
U1 0.5000 0.5000 0.0000
Bi1 0.0000 0.5000 0.5000
Bi2 0.5000 0.0000 0.5000

Symmetry: No. 123
E_form, eV/atom: -0.06
DOS(E_F), states/eV/f.u.: 7.2

Which formula does entry 6 have?
NaUBi2